(1)
## BC (PBE)

Data for a relaxed structure of BC.

energy relative to the elements: 0.401 eV/atom
density: 2.75 Mg/m³
total magnetization: 0.000 μB/f.u.
calculated total energy: -7.549 eV per atom

Lattice parameters (Å, degrees): 2.6849 4.5314 6.8097 92.67 90.00 90.00
Last column: nearest neighbours and their distance in Å.
Fractional positions:
B: 0.5000 0.5251 0.2477  1 C 1.58
B: 0.5000 0.5199 0.9805  3 C 1.57-1.60
B: 0.0000 0.6668 0.6174  3 C 1.58-1.59
B: 0.0000 0.2912 0.3476  1 C 1.61
B: 0.0000 0.9070 0.2453  2 C 1.59
B: 0.0000 0.0368 0.9618  3 C 1.58-1.61
C: 0.5000 0.8398 0.3588  1 C 1.53, 3 B 1.58-1.59
C: 0.5000 0.1861 0.8945  1 C 1.58, 3 B 1.58-1.60
C: 0.0000 0.3192 0.5837  2 B 1.58-1.61, 2 C 1.61
C: 0.0000 0.6944 0.0159  3 B 1.57-1.61
C: 0.5000 0.1699 0.6627  4 C 1.55-1.61
C: 0.5000 0.8439 0.5842  2 C 1.53-1.55, 2 B 1.59

(2)
## B3C (PBE)

Data for a relaxed structure of B3C.

energy relative to the elements: 0.412 eV/atom
density: 2.68 Mg/m³
total magnetization: 0.000 μB/f.u.
calculated total energy: -6.902 eV per atom

Lattice parameters (Å, degrees): 4.4068 4.4068 4.9676 73.60 73.60 65.27
Last column: nearest neighbours and their distance in Å.
Fractional positions:
B: 0.9674 0.3210 0.6668  1 C 1.61, 2 B 1.80
B: 0.2099 0.0574 0.9400  5 B 1.74-1.87
B: 0.6454 0.0276 0.8206  1 C 1.64, 3 B 1.80
B: 0.9426 0.7901 0.0600  5 B 1.74-1.87
B: 0.3855 0.6145 0.0000  2 C 1.53
B: 0.9724 0.3546 0.1794  1 C 1.64, 3 B 1.80
B: 0.2401 0.0408 0.4214  1 C 1.65, 3 B 1.80-1.85
B: 0.6790 0.0326 0.3332  1 C 1.61, 2 B 1.80
B: 0.9592 0.7599 0.5786  1 C 1.65, 3 B 1.80-1.85
C: 0.5604 0.4403 0.2594  1 C 1.47, 3 B 1.53-1.64
C: 0.3784 0.6216 0.5000  2 C 1.47, 2 B 1.65
C: 0.5597 0.4396 0.7406  1 C 1.47, 3 B 1.53-1.64

(3)
## BC (PBE)

Data for a relaxed structure of BC.

energy relative to the elements: 0.367 eV/atom
density: 2.89 Mg/m³
total magnetization: 0.000 μB/f.u.
calculated total energy: -7.583 eV per atom

Lattice parameters (Å, degrees): 4.4776 4.4776 8.5018 119.29 119.29 32.40
Last column: nearest neighbours and their distance in Å.
Fractional positions:
B: 0.4809 0.4809 0.3855  3 C 1.61-1.68, 1 B 1.79
B: 0.3022 0.3022 0.1523  5 B 1.78-1.90
B: 0.1432 0.1432 0.2273  2 C 1.63, 2 B 1.73-1.78
B: 0.0476 0.0476 0.9928  2 C 1.65, 2 B 1.73-1.83
B: 0.8566 0.8566 0.0305  1 C 1.66, 3 B 1.83
B: 0.3357 0.3357 0.6716  4 C 1.58-1.68
C: 0.6508 0.6508 0.3539  1 C 1.48, 3 B 1.61-1.63
C: 0.6815 0.6815 0.8184  3 C 1.54, 1 B 1.66
C: 0.5243 0.5243 0.8561  1 C 1.54, 3 B 1.58-1.65
C: 0.1662 0.1662 0.7062  3 C 1.53-1.54, 1 B 1.63
C: 0.9895 0.9895 0.5224  2 C 1.49-1.53
C: 0.8214 0.8214 0.5329  2 C 1.48-1.49